No. 1
Here is Ca2SbSe after structural relaxation from Alexandria via LeMat-Bulk. Energies are from GGA-PBEsol.

Geometry as POSCAR:
```
Ca2SbSe
1.0
5.280 0.000 0.000
2.640 4.573 0.000
2.640 1.524 4.311
Sb Ca Se
1 2 1
direct
0.000 0.000 0.000
0.750 0.750 0.750
0.250 0.250 0.250
0.500 0.500 0.500
```

Output
Total magnetic moment ... 0.00 Bohr magnetons per cell
Energy above the most stable polymorph in this dataset ... 0.282 eV per atom
E_form (uncorrected) ... -1.11 eV per atom
Fermi-level density of states ... 1.096 states/eV/atom
ρ ... 4.48 Mg/m³
VASP energy ... -0.157 Ha/atom



No. 2
Here is CaSbSe2 after structural relaxation from Alexandria via LeMat-Bulk. Energies are from GGA-PBEsol.

Geometry as POSCAR:
```
CaSbSe2
1.0
4.422 0.000 0.000
2.211 3.830 0.000
2.211 1.277 6.164
Ca Sb Se
1 1 2
direct
0.500 0.500 0.500
0.000 0.000 0.000
0.253 0.253 0.241
0.747 0.747 0.759
```

Output
Total magnetic moment ... 0.00 Bohr magnetons per cell
E_form (uncorrected) ... -0.86 eV per atom
Fermi-level density of states ... 0.549 states/eV/atom
ρ ... 5.09 Mg/m³
VASP energy ... -0.164 Ha/atom



No. 3
Here is Ca2Sb2Se after structural relaxation from Alexandria via LeMat-Bulk. Energies are from GGA-PBEsol.

Geometry as POSCAR:
```
Ca2Sb2Se
1.0
-3.513 0.317 -3.187
-3.833 -5.639 3.664
-3.537 5.278 4.422
Sb Ca Se
4 4 2
direct
0.500 0.875 0.375
0.500 0.125 0.625
0.500 0.625 0.875
0.500 0.375 0.125
0.000 0.322 0.822
0.000 0.678 0.178
0.000 0.178 0.322
0.000 0.822 0.678
0.000 0.000 0.000
0.000 0.500 0.500
```

Output
Total magnetic moment ... 0.00 Bohr magnetons per cell
E_form (uncorrected) ... -0.90 eV per atom
Fermi-level density of states ... 0.315 states/eV/atom
ρ ... 4.69 Mg/m³
VASP energy ... -0.160 Ha/atom